The following is a PBE-GGA calculation of a relaxed structure of Ho2Nb3Ge4, from Alexandria via LeMat-Bulk.

Computed properties:
Its crystal system is monoclinic. The formation energy comes out at -72.06 kJ per mole of atoms. The space group is P2_1/c (14). As for the energy above the most stable polymorph in this dataset: 0.07 eV/f.u. As for the density: 8.8 g/cm³.

abc: 7.1698 7.1698 7.0327
angles: 90.00 109.43 90.00
Closest atoms and distances in Å follow each position.
Sites, in units of the cell vectors:
Ho  0.1874  0.1715  0.0589  7 Ge 2.86-3.08
Ho  0.1874  0.3285  0.5589  7 Ge 2.86-3.08
Ho  0.8126  0.6715  0.4411  7 Ge 2.86-3.08
Ho  0.8126  0.8285  0.9411  7 Ge 2.86-3.08
Nb  0.2551  0.6751  0.2465  6 Ge 2.61-2.79
Nb  0.2551  0.8249  0.7465  6 Ge 2.61-2.79
Nb  0.5000  0.0000  0.5000  6 Ge 2.76-2.82
Nb  0.5000  0.5000  0.0000  6 Ge 2.76-2.82
Nb  0.7449  0.1751  0.2535  6 Ge 2.61-2.79
Nb  0.7449  0.3249  0.7535  6 Ge 2.61-2.79
Ge  0.0842  0.5367  0.8567  4 Nb 2.65-2.82, 1 Ge 2.72, 2 Ho 2.86-2.95
Ge  0.0842  0.9633  0.3567  4 Nb 2.65-2.82, 1 Ge 2.72, 2 Ho 2.86-2.95
Ge  0.4907  0.1311  0.8657  5 Nb 2.61-2.80, 1 Ge 2.64, 1 Ho 2.87
Ge  0.4907  0.3689  0.3657  5 Nb 2.61-2.80, 1 Ge 2.64, 1 Ho 2.87
Ge  0.5093  0.6311  0.6343  5 Nb 2.61-2.80, 1 Ge 2.64, 1 Ho 2.87
Ge  0.5093  0.8689  0.1343  5 Nb 2.61-2.80, 1 Ge 2.64, 1 Ho 2.87
Ge  0.9158  0.0367  0.6433  4 Nb 2.65-2.82, 1 Ge 2.72, 2 Ho 2.86-2.95
Ge  0.9158  0.4633  0.1433  4 Nb 2.65-2.82, 1 Ge 2.72, 2 Ho 2.86-2.95

***

The following is a PBE-GGA calculation of a relaxed structure of Nd5HoGe4, from Alexandria via LeMat-Bulk.

Computed properties:
Its crystal system is monoclinic. The formation energy comes out at -59.31 kJ per mole of atoms. The space group is C2/m (12). As for the density: 6.9 g/cm³.

abc: 8.3237 8.3237 7.0184
angles: 90.89 90.89 35.60
Closest atoms and distances in Å follow each position.
Sites, in units of the cell vectors:
Nd  0.0000  0.0000  0.0000  6 Ge 3.13-3.32
Nd  0.3344  0.3344  0.4932  5 Ge 3.01-3.24
Nd  0.3357  0.3357  0.0033  5 Ge 3.08-3.26, 1 Nd 3.44
Nd  0.6643  0.6643  0.9967  5 Ge 3.08-3.26, 1 Nd 3.44
Nd  0.6656  0.6656  0.5068  5 Ge 3.01-3.24
Ho  0.0000  0.0000  0.5000  6 Ge 3.06-3.26
Ge  0.1758  0.1758  0.7483  7 Nd 3.06-3.32, 1 Ho 3.26
Ge  0.4911  0.4911  0.7410  6 Nd 3.01-3.26, 2 Ho 3.06
Ge  0.5089  0.5089  0.2590  6 Nd 3.01-3.26, 2 Ho 3.06
Ge  0.8242  0.8242  0.2517  7 Nd 3.06-3.32, 1 Ho 3.26

***

The following is a PBE-GGA calculation of a relaxed structure of NdHoGe, from Alexandria via LeMat-Bulk.

Computed properties:
Its crystal system is tetragonal. The formation energy comes out at -36.65 kJ per mole of atoms. The space group is I4_1md (109). As for the energy above the most stable polymorph in this dataset: 0.43 eV/f.u. As for the density: 6.7 g/cm³.

abc: 6.9497 6.9497 6.9497
angles: 130.69 130.69 72.30
Closest atoms and distances in Å follow each position.
Sites, in units of the cell vectors:
Nd  0.0000  0.0000  0.0000  3 Ge 2.90-2.97
Nd  0.7500  0.2500  0.5000  3 Ge 2.90-2.97
Ho  0.2662  0.7662  0.5000  3 Ge 2.83-2.90
Ho  0.5162  0.5162  0.0000  3 Ge 2.83-2.90
Ge  0.0144  0.5144  0.5000  3 Ho 2.83-2.90, 3 Nd 2.90-2.97
Ge  0.2644  0.2644  0.0000  3 Ho 2.83-2.90, 3 Nd 2.90-2.97

***

The following is a PBE-GGA calculation of a relaxed structure of Nd2HoGe2, from Alexandria via LeMat-Bulk.

Computed properties:
Its crystal system is tetragonal. The formation energy comes out at -75.36 kJ per mole of atoms. The space group is P4/mbm (127). As for the energy above the most stable polymorph in this dataset: 0.00 eV/f.u. As for the density: 7.6 g/cm³.

abc: 7.7008 7.7008 4.4185
angles: 90.00 90.00 90.00
Closest atoms and distances in Å follow each position.
Sites, in units of the cell vectors:
Nd  0.1746  0.3254  0.0000  6 Ge 3.12-3.21
Nd  0.3254  0.8254  0.0000  6 Ge 3.12-3.21
Nd  0.6746  0.1746  0.0000  6 Ge 3.12-3.21
Nd  0.8254  0.6746  0.0000  6 Ge 3.12-3.21
Ho  0.0000  0.0000  0.5000  4 Ge 3.06
Ho  0.5000  0.5000  0.5000  4 Ge 3.06
Ge  0.1225  0.6225  0.5000  1 Ge 2.67
Ge  0.3775  0.1225  0.5000  1 Ge 2.67
Ge  0.6225  0.8775  0.5000  1 Ge 2.67
Ge  0.8775  0.3775  0.5000  1 Ge 2.67

***

The following is a PBE-GGA calculation of a relaxed structure of Nd3HoGe2, from Alexandria via LeMat-Bulk.

Computed properties:
Its crystal system is monoclinic. The formation energy comes out at -58.90 kJ per mole of atoms. The space group is C2/m (12). As for the density: 7.4 g/cm³.

abc: 8.8319 8.8319 4.4559
angles: 104.56 104.56 29.93
Closest atoms and distances in Å follow each position.
Sites, in units of the cell vectors:
Nd  0.0000  0.0000  0.0000  4 Ge 3.16, 4 Ho 3.19
Nd  0.1809  0.1809  0.6806  5 Ge 3.07-3.29
Nd  0.8191  0.8191  0.3194  5 Ge 3.07-3.29
Ho  0.5000  0.5000  0.5000  4 Ge 3.12, 4 Nd 3.19
Ge  0.3671  0.3671  0.8678  7 Nd 3.07-3.29, 2 Ho 3.12
Ge  0.6329  0.6329  0.1322  7 Nd 3.07-3.29, 2 Ho 3.12

***

The following is a PBE-GGA calculation of a relaxed structure of NdHoGe4, from Alexandria via LeMat-Bulk.

Computed properties:
Its crystal system is cubic. The formation energy comes out at -31.68 kJ per mole of atoms. The space group is F-43m (216). As for the density: 7.7 g/cm³.

abc: 5.6806 5.6806 5.6806
angles: 60.00 60.00 60.00
Closest atoms and distances in Å follow each position.
Sites, in units of the cell vectors:
Nd  0.0000  0.0000  0.0000  12 Ge 3.33, 4 Ho 3.48
Ho  0.2500  0.2500  0.2500  12 Ge 3.33, 4 Nd 3.48
Ge  0.1292  0.6236  0.6236  6 Ge 2.81-2.87
Ge  0.6236  0.1292  0.6236  6 Ge 2.81-2.87
Ge  0.6236  0.6236  0.1292  6 Ge 2.81-2.87
Ge  0.6236  0.6236  0.6236  6 Ge 2.81-2.87

***

no.,calculated volume (Å³/atom),spin magnetization (Bohr magnetons per cell),D(E_F) (states/eV per atom)
1,18.9,0.000,0.507
2,28.3,0.000,0.568
3,31.4,0.000,1.253
4,26.2,0.000,0.933
5,27.9,0.014,1.040
6,21.6,0.001,1.188